Entry 1:
This record from Alexandria via LeMat-Bulk describes crystalline ScCu3 at its relaxed geometry. The functional is PBE.

```
ScCu3
1.0
-0.515 -2.461 -3.532
-0.631 -4.270 0.407
-3.364 0.747 2.631
Cu Sc
3 1
Direct
0.000 0.500 0.500 Cu
0.500 0.250 0.250 Cu
0.000 0.000 0.000 Cu
0.500 0.750 0.750 Sc
```

Values from the calculation:
The value obtained for the size of the total moment is 0.000 μB/cell. The energy comes out at -0.1768 Ha/atom. The calculation puts the calculated volume at 14.40 Å³/atom. The formation energy from the elements is -0.6 eV per formula unit. As for the density: 6.8 g/cm³.

***

Entry 2:
This record from Alexandria via LeMat-Bulk describes crystalline AgWBr4 at its relaxed geometry. The functional is PBE.

```
AgWBr4
1.0
0.000 4.382 4.382
4.382 0.000 4.382
4.382 4.382 0.000
Ag Br W
1 4 1
Direct
0.000 0.000 0.000 Ag
0.874 0.375 0.375 Br
0.375 0.874 0.375 Br
0.375 0.375 0.874 Br
0.375 0.375 0.375 Br
0.750 0.750 0.750 W
```

Values from the calculation:
The value obtained for the size of the total moment is 4.611 μB/cell. The energy comes out at -0.0828 Ha/atom. The calculation puts the calculated volume at 28.04 Å³/atom. The uncorrected formation energy comes out at 1.495 eV per atom. As for the density: 6.0 g/cm³. The value obtained for the polymorph energy (0 for the lowest one) is 1772 meV per atom.

***

Entry 3:
This record from Alexandria via LeMat-Bulk describes crystalline TbHoTh2As4 at its relaxed geometry. The functional is PBE.

```
TbHoTh2As4
1.0
-0.496 -2.406 3.408
-5.089 -3.804 -3.426
3.062 -5.593 -3.503
As Th Ho Tb
4 2 1 1
Direct
0.500 0.743 0.251 As
0.500 0.257 0.749 As
0.000 0.742 0.754 As
0.000 0.258 0.246 As
0.000 0.000 0.000 Th
0.500 0.000 0.500 Th
0.500 0.500 0.000 Ho
0.000 0.500 0.500 Tb
```

Values from the calculation:
The value obtained for the size of the total moment is 0.000 μB/cell. The energy comes out at -0.2499 Ha/atom. The calculation puts the calculated volume at 25.96 Å³/atom. The formation energy from the elements is -11.7 eV per formula unit. As for the density: 8.7 g/cm³.

***

Entry 4:
This record from Alexandria via LeMat-Bulk describes crystalline Re7Te at its relaxed geometry. The functional is PBE.

```
Re7Te
1.0
0.000 3.967 3.967
3.967 0.000 3.967
3.967 3.967 0.000
Re Te
7 1
Direct
0.500 0.000 0.000 Re
0.500 0.500 0.500 Re
0.000 0.500 0.500 Re
0.000 0.000 0.500 Re
0.000 0.500 0.000 Re
0.500 0.000 0.500 Re
0.500 0.500 0.000 Re
0.000 0.000 0.000 Te
```

Values from the calculation:
The value obtained for the size of the total moment is 0.000 μB/cell. The energy comes out at -0.3934 Ha/atom. The calculation puts the calculated volume at 15.61 Å³/atom. The uncorrected formation energy comes out at 0.580 eV per atom. As for the density: 19.0 g/cm³.

***

Entry 5:
This record from Alexandria via LeMat-Bulk describes crystalline BaCuP2 at its relaxed geometry. The functional is PBE.

```
BaCuP2
1.0
-2.505 -2.393 -0.149
1.300 -1.537 2.824
-3.991 3.931 3.976
P Ba Cu
2 1 1
Direct
0.000 0.000 0.013 P
0.500 0.500 0.158 P
0.000 0.000 0.499 Ba
0.500 0.500 0.830 Cu
```

Values from the calculation:
The value obtained for the size of the total moment is 0.000 μB/cell. The energy comes out at -0.1523 Ha/atom. The calculation puts the calculated volume at 20.65 Å³/atom. The formation energy from the elements is 0.3 eV per formula unit. As for the density: 5.3 g/cm³.

***

Entry 6:
This record from Alexandria via LeMat-Bulk describes crystalline RbHg3Te3 at its relaxed geometry. The functional is PBE.

```
RbHg3Te3
1.0
3.272 0.000 0.000
0.000 11.589 -6.691
0.000 0.000 13.382
Te Hg Rb
6 6 2
Direct
0.750 0.429 0.057 Te
0.250 0.373 0.429 Te
0.250 0.057 0.627 Te
0.750 0.943 0.373 Te
0.250 0.571 0.943 Te
0.750 0.627 0.571 Te
0.250 0.786 0.944 Hg
0.250 0.056 0.843 Hg
0.250 0.157 0.214 Hg
0.750 0.214 0.056 Hg
0.750 0.944 0.157 Hg
0.750 0.843 0.786 Hg
0.750 0.333 0.667 Rb
0.250 0.667 0.333 Rb
```

Values from the calculation:
The value obtained for the size of the total moment is 0.000 μB/cell. The energy comes out at -0.0629 Ha/atom. The calculation puts the calculated volume at 36.25 Å³/atom. The uncorrected formation energy comes out at -0.098 eV per atom. As for the density: 7.0 g/cm³. The value obtained for the polymorph energy (0 for the lowest one) is 196 meV per atom.